No. 1
# UTl2Hg2I6 | Alexandria | PBE | relaxed
# - Formation energy (no corrections): -609.6 meV per atom
data_UTl2Hg2I6
_cell_length_a 8.575
_cell_length_b 8.575
_cell_length_c 9.827
_cell_angle_alpha 99.53
_cell_angle_beta 99.53
_cell_angle_gamma 121.26
_space_group_name_H-M_alt 'P 1'
_space_group_IT_number 1
loop_
_space_group_symop_operation_xyz
'x,y,z'
loop_
_atom_site_label
_atom_site_type_symbol
_atom_site_fract_x
_atom_site_fract_y
_atom_site_fract_z
U1 U 0.000 0.000 0.000
Tl1 Tl 0.331 0.669 0.000
Tl2 Tl 0.669 0.331 0.000
Hg1 Hg 0.186 0.814 0.500
Hg2 Hg 0.814 0.186 0.500
I1 I 0.077 0.362 0.193
I2 I 0.220 0.220 0.812
I3 I 0.362 0.077 0.193
I4 I 0.638 0.923 0.807
I5 I 0.780 0.780 0.188
I6 I 0.923 0.638 0.807

No. 2
# UTlHgI6 | Alexandria | PBE | relaxed
# - Formation energy (no corrections): -655.1 meV per atom
data_UTlHgI6
_cell_length_a 8.517
_cell_length_b 8.517
_cell_length_c 15.550
_cell_angle_alpha 90.00
_cell_angle_beta 90.00
_cell_angle_gamma 120.00
_space_group_name_H-M_alt 'P 1'
_space_group_IT_number 1
loop_
_space_group_symop_operation_xyz
'x,y,z'
loop_
_atom_site_label
_atom_site_type_symbol
_atom_site_fract_x
_atom_site_fract_y
_atom_site_fract_z
U1 U 0.333 0.667 0.250
U2 U 0.667 0.333 0.750
Tl1 Tl 0.333 0.667 0.750
Tl2 Tl 0.667 0.333 0.250
Hg1 Hg 0.000 0.000 0.000
Hg2 Hg 0.000 0.000 0.500
I1 I 0.049 0.389 0.140
I2 I 0.049 0.660 0.360
I3 I 0.340 0.389 0.360
I4 I 0.340 0.951 0.140
I5 I 0.389 0.049 0.640
I6 I 0.389 0.340 0.860
I7 I 0.611 0.660 0.140
I8 I 0.611 0.951 0.360
I9 I 0.660 0.049 0.860
I10 I 0.660 0.611 0.640
I11 I 0.951 0.340 0.640
I12 I 0.951 0.611 0.860

No. 3
# Tl2Zn2HgI6 | Alexandria | PBE | relaxed
# - Formation energy (no corrections): -545.1 meV per atom
data_Tl2Zn2HgI6
_cell_length_a 7.291
_cell_length_b 7.912
_cell_length_c 9.221
_cell_angle_alpha 106.79
_cell_angle_beta 92.51
_cell_angle_gamma 110.49
_space_group_name_H-M_alt 'P 1'
_space_group_IT_number 1
loop_
_space_group_symop_operation_xyz
'x,y,z'
loop_
_atom_site_label
_atom_site_type_symbol
_atom_site_fract_x
_atom_site_fract_y
_atom_site_fract_z
Tl1 Tl 0.164 0.317 0.247
Tl2 Tl 0.836 0.683 0.753
Zn1 Zn 0.171 0.183 0.661
Zn2 Zn 0.829 0.817 0.339
Hg1 Hg 0.000 0.500 0.000
I1 I 0.232 0.968 0.391
I2 I 0.290 0.098 0.889
I3 I 0.293 0.533 0.662
I4 I 0.707 0.467 0.338
I5 I 0.710 0.902 0.111
I6 I 0.768 0.032 0.609

No. 4
# TlZn2HgI | Alexandria | PBE | relaxed
# - Formation energy (no corrections): 516.2 meV per atom
data_TlZn2HgI
_cell_length_a 5.722
_cell_length_b 5.722
_cell_length_c 6.941
_cell_angle_alpha 90.00
_cell_angle_beta 90.00
_cell_angle_gamma 90.00
_space_group_name_H-M_alt 'P 1'
_space_group_IT_number 1
loop_
_space_group_symop_operation_xyz
'x,y,z'
loop_
_atom_site_label
_atom_site_type_symbol
_atom_site_fract_x
_atom_site_fract_y
_atom_site_fract_z
Tl1 Tl 0.000 0.000 0.000
Zn1 Zn 0.000 0.500 0.500
Zn2 Zn 0.500 0.000 0.500
Hg1 Hg 0.500 0.500 0.000
I1 I 0.500 0.500 0.500

No. 5
# ZrTl2Hg2I6 | Alexandria | PBE | relaxed
# - Formation energy (no corrections): -644.1 meV per atom
data_ZrTl2Hg2I6
_cell_length_a 8.454
_cell_length_b 8.454
_cell_length_c 9.623
_cell_angle_alpha 99.73
_cell_angle_beta 99.73
_cell_angle_gamma 121.34
_space_group_name_H-M_alt 'P 1'
_space_group_IT_number 1
loop_
_space_group_symop_operation_xyz
'x,y,z'
loop_
_atom_site_label
_atom_site_type_symbol
_atom_site_fract_x
_atom_site_fract_y
_atom_site_fract_z
Zr1 Zr 0.000 0.000 0.000
Tl1 Tl 0.331 0.669 0.000
Tl2 Tl 0.669 0.331 0.000
Hg1 Hg 0.188 0.812 0.500
Hg2 Hg 0.812 0.188 0.500
I1 I 0.077 0.352 0.190
I2 I 0.210 0.210 0.814
I3 I 0.352 0.077 0.190
I4 I 0.648 0.923 0.810
I5 I 0.790 0.790 0.186
I6 I 0.923 0.648 0.810

No. 6
# TmHg3I9 | Alexandria | PBE | relaxed
# - Formation energy (no corrections): -568.6 meV per atom
data_TmHg3I9
_cell_length_a 11.534
_cell_length_b 11.534
_cell_length_c 14.768
_cell_angle_alpha 123.82
_cell_angle_beta 123.82
_cell_angle_gamma 54.88
_space_group_name_H-M_alt 'P 1'
_space_group_IT_number 1
loop_
_space_group_symop_operation_xyz
'x,y,z'
loop_
_atom_site_label
_atom_site_type_symbol
_atom_site_fract_x
_atom_site_fract_y
_atom_site_fract_z
Tm1 Tm 0.231 0.769 0.500
Tm2 Tm 0.769 0.231 0.000
Hg1 Hg 0.201 0.333 0.777
Hg2 Hg 0.333 0.201 0.277
Hg3 Hg 0.567 0.704 0.336
Hg4 Hg 0.704 0.567 0.836
Hg5 Hg 0.760 0.991 0.186
Hg6 Hg 0.991 0.760 0.686
I1 I 0.022 0.502 0.919
I2 I 0.088 0.935 0.681
I3 I 0.093 0.189 0.061
I4 I 0.189 0.093 0.561
I5 I 0.225 0.488 0.460
I6 I 0.262 0.557 0.798
I7 I 0.300 0.698 0.298
I8 I 0.488 0.225 0.960
I9 I 0.502 0.022 0.419
I10 I 0.555 0.849 0.981
I11 I 0.557 0.262 0.298
I12 I 0.561 0.646 0.628
I13 I 0.646 0.561 0.128
I14 I 0.698 0.300 0.798
I15 I 0.784 0.930 0.806
I16 I 0.849 0.555 0.481
I17 I 0.930 0.784 0.306
I18 I 0.935 0.088 0.181

No. 7
# TmHg2I6 | Alexandria | PBE | relaxed
# - Formation energy (no corrections): -689.2 meV per atom
data_TmHg2I6
_cell_length_a 11.125
_cell_length_b 11.125
_cell_length_c 7.744
_cell_angle_alpha 107.44
_cell_angle_beta 107.44
_cell_angle_gamma 75.10
_space_group_name_H-M_alt 'P 1'
_space_group_IT_number 1
loop_
_space_group_symop_operation_xyz
'x,y,z'
loop_
_atom_site_label
_atom_site_type_symbol
_atom_site_fract_x
_atom_site_fract_y
_atom_site_fract_z
Tm1 Tm 0.081 0.919 0.750
Tm2 Tm 0.919 0.081 0.250
Hg1 Hg 0.333 0.495 0.659
Hg2 Hg 0.495 0.333 0.159
Hg3 Hg 0.505 0.667 0.841
Hg4 Hg 0.667 0.505 0.341
I1 I 0.029 0.177 0.662
I2 I 0.111 0.653 0.797
I3 I 0.177 0.029 0.162
I4 I 0.251 0.433 0.258
I5 I 0.347 0.889 0.703
I6 I 0.433 0.251 0.758
I7 I 0.567 0.749 0.242
I8 I 0.653 0.111 0.297
I9 I 0.749 0.567 0.742
I10 I 0.823 0.971 0.838
I11 I 0.889 0.347 0.203
I12 I 0.971 0.823 0.338

No. 8
# TmHg2I8 | Alexandria | PBE | relaxed
# - Formation energy (no corrections): -586.4 meV per atom
data_TmHg2I8
_cell_length_a 8.859
_cell_length_b 8.859
_cell_length_c 7.304
_cell_angle_alpha 97.50
_cell_angle_beta 97.50
_cell_angle_gamma 91.76
_space_group_name_H-M_alt 'P 1'
_space_group_IT_number 1
loop_
_space_group_symop_operation_xyz
'x,y,z'
loop_
_atom_site_label
_atom_site_type_symbol
_atom_site_fract_x
_atom_site_fract_y
_atom_site_fract_z
Tm1 Tm 0.000 0.000 0.000
Hg1 Hg 0.214 0.214 0.666
Hg2 Hg 0.786 0.786 0.334
I1 I 0.076 0.734 0.209
I2 I 0.218 0.218 0.274
I3 I 0.266 0.924 0.791
I4 I 0.447 0.447 0.780
I5 I 0.553 0.553 0.220
I6 I 0.734 0.076 0.209
I7 I 0.782 0.782 0.726
I8 I 0.924 0.266 0.791